Density functional theory data (PBE-GGA) for a relaxed structure of CoNi5.

Results
**Calculated formation energy**: 0.362 eV/atom
**Final energy**: -0.4146 Ry per atom

Unit cell a=4.5757 b=4.5757 c=4.0145 alpha=90.00 beta=90.00 gamma=120.00
Space group P6/mmm (No. 191)
Unique sites:
Co  0.0000  0.0000  0.0000 (multiplicity 1)
Ni  0.0000  0.5000  0.5000 (multiplicity 3)
Ni  0.3333  0.6667  0.0000 (multiplicity 2)



Density functional theory data (PBE-GGA) for a relaxed structure of Co2Ni.

Results
**Calculated formation energy**: 0.229 eV/atom
**Final energy**: -0.4730 Ry per atom

Unit cell a=6.524 b=6.524 c=6.524 alpha=90.00 beta=90.00 gamma=90.00
Space group Fd-3m (No. 227, origin choice 2)
Unique sites:
Co  0.000  0.000  0.000 (multiplicity 16)
Ni  0.125  0.125  0.625 (multiplicity 8)



Density functional theory data (PBE-GGA) for a relaxed structure of Co2Ni.

Results
**Calculated formation energy**: 0.006 eV/atom
**Final energy**: -0.4894 Ry per atom

Unit cell a=2.463 b=3.560 c=7.443 alpha=90.00 beta=90.00 gamma=90.00
Space group Immm (No. 71)
Unique sites:
Co  0.000  0.000  0.168 (multiplicity 4)
Ni  0.000  0.000  0.500 (multiplicity 2)



Density functional theory data (PBE-GGA) for a relaxed structure of Co5Ni4.

Results
**Calculated formation energy**: 0.108 eV/atom
**Final energy**: -0.4711 Ry per atom

Unit cell a=8.715 b=8.715 c=2.623 alpha=90.00 beta=90.00 gamma=90.00
Space group I4/mmm (No. 139)
Unique sites:
Co  0.000  0.000  0.000 (multiplicity 2)
Co  0.167  0.167  0.500 (multiplicity 8)
Ni  0.000  0.332  0.000 (multiplicity 8)



Density functional theory data (PBE-GGA) for a relaxed structure of Co2Ni.

Results
**Calculated formation energy**: 0.005 eV/atom
**Final energy**: -0.4895 Ry per atom

Unit cell a=9.153 b=2.508 c=5.888 alpha=90.00 beta=104.67 gamma=90.00
Space group C2/m (No. 12)
Unique sites:
Co  0.028  0.000  0.303 (multiplicity 4)
Co  0.139  0.500  0.027 (multiplicity 4)
Ni  0.193  0.500  0.638 (multiplicity 4)



Density functional theory data (PBE-GGA) for a relaxed structure of Co2Ni3.

Results
**Calculated formation energy**: 0.075 eV/atom
**Final energy**: -0.4584 Ry per atom

Unit cell a=12.471 b=2.450 c=7.707 alpha=90.00 beta=109.93 gamma=90.00
Space group C2/m (No. 12)
Unique sites:
Co  0.193  0.000  0.362 (multiplicity 4)
Co  0.211  0.500  0.858 (multiplicity 4)
Ni  0.021  0.000  0.763 (multiplicity 4)
Ni  0.098  0.500  0.537 (multiplicity 4)
Ni  0.103  0.500  0.073 (multiplicity 4)



Density functional theory data (PBE-GGA) for a relaxed structure of CoNi2.

Results
**Calculated formation energy**: -0.001 eV/atom
**Final energy**: -0.4574 Ry per atom

Unit cell a=3.537 b=10.543 c=3.500 alpha=90.00 beta=90.00 gamma=90.00
Space group Cmcm (No. 63)
Unique sites:
Co  0.000  0.082  0.250 (multiplicity 4)
Ni  0.000  0.251  0.750 (multiplicity 4)
Ni  0.000  0.419  0.250 (multiplicity 4)



Density functional theory data (PBE-GGA) for a relaxed structure of Co3Ni.

Results
**Calculated formation energy**: -0.010 eV/atom
**Final energy**: -0.4987 Ry per atom

Unit cell a=2.474 b=4.032 c=4.349 alpha=90.00 beta=90.00 gamma=90.00
Space group Pmm2 (No. 25)
Unique sites:
Co  0.000  0.000  0.000 (multiplicity 1)
Co  0.000  0.500  0.328 (multiplicity 1)
Co  0.500  0.000  0.501 (multiplicity 1)
Ni  0.500  0.500  0.830 (multiplicity 1)



Density functional theory data (PBE-GGA) for a relaxed structure of Co3Ni.

Results
**Calculated formation energy**: -0.017 eV/atom
**Final energy**: -0.4992 Ry per atom

Unit cell a=4.328 b=4.022 c=4.993 alpha=90.00 beta=90.03 gamma=90.00
Space group P2_1/m (No. 11)
Unique sites:
Co  0.081  0.250  0.124 (multiplicity 2)
Co  0.415  0.750  0.125 (multiplicity 2)
Co  0.417  0.750  0.625 (multiplicity 2)
Ni  0.083  0.250  0.624 (multiplicity 2)



Density functional theory data (PBE-GGA) for a relaxed structure of Co5Ni.

Results
**Calculated formation energy**: -0.010 eV/atom
**Final energy**: -0.5068 Ry per atom

Unit cell a=4.3215 b=4.3215 c=4.0223 alpha=90.00 beta=90.00 gamma=120.00
Space group P-62m (No. 189)
Unique sites:
Co  0.0000  0.6662  0.0000 (multiplicity 3)
Co  0.3333  0.6667  0.5000 (multiplicity 2)
Ni  0.0000  0.0000  0.5000 (multiplicity 1)



Density functional theory data (PBE-GGA) for a relaxed structure of Co4Ni.

Results
**Calculated formation energy**: 0.010 eV/atom
**Final energy**: -0.5021 Ry per atom

Unit cell a=2.473 b=3.549 c=12.415 alpha=90.00 beta=90.00 gamma=90.00
Space group Immm (No. 71)
Unique sites:
Co  0.000  0.000  0.101 (multiplicity 4)
Co  0.000  0.000  0.300 (multiplicity 4)
Ni  0.000  0.000  0.500 (multiplicity 2)



Density functional theory data (PBE-GGA) for a relaxed structure of CoNi3.

Results
**Calculated formation energy**: 0.012 eV/atom
**Final energy**: -0.4484 Ry per atom

Unit cell a=3.521 b=3.521 c=3.521 alpha=90.00 beta=90.00 gamma=90.00
Space group Pm-3m (No. 221)
Unique sites:
Co  0.000  0.000  0.000 (multiplicity 1)
Ni  0.000  0.500  0.500 (multiplicity 3)



- What is the calculated formation energy in the second record?
  0.229 eV/atom



- Which of these has the highest final energy?
  CoNi5